<i>
KTiNbNi2 | GGA-PBE | optimized geometry Values from VASP.

- Space group: P4/mmm, No. 123

The structure in Quantum ESPRESSO input format:
```
&SYSTEM
  ibrav = 0, nat = 5, ntyp = 4
/
ATOMIC_SPECIES
K 39.10 K.upf
Ti 47.87 Ti.upf
Nb 92.91 Nb.upf
Ni 58.69 Ni.upf
ATOMIC_POSITIONS crystal
K 0.000 0.000 0.000
Ti 0.000 0.000 0.500
Nb 0.500 0.500 0.000
Ni 0.000 0.500 0.500
Ni 0.500 0.000 0.500
CELL_PARAMETERS angstrom
4.469 0.000 0.000
0.000 4.469 0.000
0.000 0.000 4.809
```

=====

<ii>
KTiNbNi2 | GGA-PBE | optimized geometry Values from VASP.

- Space group: P4/mmm, No. 123

The structure in Quantum ESPRESSO input format:
```
&SYSTEM
  ibrav = 0, nat = 5, ntyp = 4
/
ATOMIC_SPECIES
K 39.10 K.upf
Ti 47.87 Ti.upf
Nb 92.91 Nb.upf
Ni 58.69 Ni.upf
ATOMIC_POSITIONS crystal
K 0.000 0.000 0.000
Ti 0.500 0.500 0.000
Nb 0.000 0.000 0.500
Ni 0.000 0.500 0.500
Ni 0.500 0.000 0.500
CELL_PARAMETERS angstrom
4.603 0.000 0.000
0.000 4.603 0.000
0.000 0.000 5.024
```

=====

Decreasing stability: <i>, <ii>

=====

<i>
KNb3O8 | GGA-PBE | optimized geometry Values from VASP.

- Space group: Cm, No. 8

The structure in Quantum ESPRESSO input format:
```
&SYSTEM
  ibrav = 0, nat = 12, ntyp = 3
/
ATOMIC_SPECIES
K 39.10 K.upf
Nb 92.91 Nb.upf
O 16.00 O.upf
ATOMIC_POSITIONS crystal
K 0.000 0.000 0.000
Nb 0.652 0.652 0.439
Nb 0.715 0.715 0.981
Nb 0.936 0.936 0.429
O 0.100 0.100 0.398
O 0.197 0.197 0.931
O 0.473 0.473 0.387
O 0.629 0.629 0.136
O 0.681 0.681 0.686
O 0.790 0.790 0.435
O 0.848 0.848 0.128
O 0.978 0.978 0.667
CELL_PARAMETERS angstrom
6.788 -1.924 0.000
6.788 1.924 0.000
-2.170 0.000 7.376
```

=====

<ii>
KNb3O8 | GGA-PBE | optimized geometry Values from VASP.

- Space group: Cmcm, No. 63

The structure in Quantum ESPRESSO input format:
```
&SYSTEM
  ibrav = 0, nat = 24, ntyp = 3
/
ATOMIC_SPECIES
K 39.10 K.upf
Nb 92.91 Nb.upf
O 16.00 O.upf
ATOMIC_POSITIONS crystal
K 0.017 0.983 0.750
K 0.983 0.017 0.250
Nb 0.243 0.757 0.250
Nb 0.368 0.632 0.559
Nb 0.368 0.632 0.941
Nb 0.632 0.368 0.059
Nb 0.632 0.368 0.441
Nb 0.757 0.243 0.750
O 0.158 0.842 0.092
O 0.158 0.842 0.408
O 0.284 0.716 0.750
O 0.296 0.704 0.094
O 0.296 0.704 0.406
O 0.413 0.587 0.750
O 0.431 0.569 0.064
O 0.431 0.569 0.436
O 0.569 0.431 0.564
O 0.569 0.431 0.936
O 0.587 0.413 0.250
O 0.704 0.296 0.594
O 0.704 0.296 0.906
O 0.716 0.284 0.250
O 0.842 0.158 0.592
O 0.842 0.158 0.908
CELL_PARAMETERS angstrom
1.923 -10.889 0.000
1.923 10.889 0.000
0.000 0.000 9.118
```

=====

Decreasing stability: <ii>, <i>

=====

<i>
KNbPO2 | GGA-PBE | optimized geometry Values from VASP.

- Space group: P4/mmm, No. 123

The structure in Quantum ESPRESSO input format:
```
&SYSTEM
  ibrav = 0, nat = 5, ntyp = 4
/
ATOMIC_SPECIES
K 39.10 K.upf
Nb 92.91 Nb.upf
P 30.97 P.upf
O 16.00 O.upf
ATOMIC_POSITIONS crystal
K 0.000 0.000 0.000
Nb 0.500 0.500 0.500
P 0.000 0.000 0.500
O 0.000 0.500 0.000
O 0.500 0.000 0.000
CELL_PARAMETERS angstrom
3.992 0.000 0.000
0.000 3.992 0.000
0.000 0.000 5.705
```

=====

<ii>
KNbPO2 | GGA-PBE | optimized geometry Values from VASP.

- Space group: P4/mmm, No. 123

The structure in Quantum ESPRESSO input format:
```
&SYSTEM
  ibrav = 0, nat = 5, ntyp = 4
/
ATOMIC_SPECIES
K 39.10 K.upf
Nb 92.91 Nb.upf
P 30.97 P.upf
O 16.00 O.upf
ATOMIC_POSITIONS crystal
K 0.000 0.000 0.000
Nb 0.500 0.500 0.500
P 0.500 0.500 0.000
O 0.000 0.500 0.500
O 0.500 0.000 0.500
CELL_PARAMETERS angstrom
4.110 0.000 0.000
0.000 4.110 0.000
0.000 0.000 5.063
```

=====

Decreasing stability: <ii>, <i>